TaIn2Tc after structural relaxation. Source: Alexandria, functional PBE.

Cell: 7.6263 7.6263 5.6492 Å, 90.00 90.00 90.00°
Space group I-42d (No. 122)
One atom of each set of equivalent atoms:
Ta  0.0000  0.0000  0.0000 [4 per cell]
In  0.2359  0.7500  0.6250 [8 per cell]
Tc  0.0000  0.0000  0.5000 [4 per cell]

Output
offset from the most stable computed form	0.6884	eV per atom
VASP energy	-24.6	eV/f.u.
D(E_F)	14.245	states/eV per cell
formation energy	766	meV/atom

KTaSiC2 after structural relaxation. Source: Alexandria, functional PBE.

Cell: 4.2401 4.2401 6.1748 Å, 90.00 90.00 90.00°
Space group P4/mmm (No. 123)
One atom of each set of equivalent atoms:
K  0.0000  0.0000  0.0000 [1 per cell]
Ta  0.0000  0.0000  0.5000 [1 per cell]
Si  0.5000  0.5000  0.0000 [1 per cell]
C  0.0000  0.5000  0.5000 [2 per cell]

Output
E_form (uncorrected)	2107	meV per atom
VASP energy	-26.3	eV/f.u.
D(E_F)	4.721	states/eV per cell

Pb3S2O after structural relaxation. Source: Alexandria, functional PBE.

Cell: 6.8329 12.8313 7.2913 Å, 90.00 109.78 90.00°
Space group C2/c (No. 15)
One atom of each set of equivalent atoms:
Pb  0.2162  0.0820  0.0573 [8 per cell]
Pb  0.2500  0.2500  0.5000 [4 per cell]
S  0.0000  0.2658  0.7500 [4 per cell]
S  0.0000  0.4240  0.2500 [4 per cell]
O  0.0000  0.1221  0.2500 [4 per cell]

Output
E_form (uncorrected)	-623	meV per atom
offset from the most stable computed form	0.0832	eV per atom
VASP energy	-28.1	eV/f.u.
D(E_F)	0.133	states/eV per cell